First-principles (PBEsol) data for a relaxed structure of RbBPtI2, as listed in the Alexandria database.

The space group is P4/mmm (No. 123) and the conventional cell measures 5.821, 5.821 and 4.071 Å, with angles of 90.00, 90.00 and 90.00 degrees. Symmetry generates all atoms from Rb at (0.000, 0.000, 0.000), B at (0.500, 0.500, 0.000), Pt at (0.500, 0.500, 0.500) and I at (0.000, 0.500, 0.500).

The formation energy without anion corrections comes out at -0.93 eV per formula unit. The spin magnetization is 0.00 Bohr magnetons per cell.

First-principles (PBEsol) data for a relaxed structure of ScAlTc2, as listed in the Alexandria database.

The space group is Imm2 (No. 44) and the conventional cell measures 3.110, 4.356 and 9.074 Å, with angles of 90.00, 90.00 and 90.00 degrees. Symmetry generates all atoms from Sc at (0.000, 0.000, 0.000), Al at (0.000, 0.500, 0.222), Tc at (0.000, 0.000, 0.477) and Tc at (0.000, 0.500, 0.754).

The energy above the most stable polymorph in this dataset is 11 meV per atom. The formation energy is -0.278 eV per atom. The spin magnetization is 0.00 Bohr magnetons per cell.

Question: spin magnetization of number 2 (ScAlTc2)?
Answer: 0.00 Bohr magnetons per cell